Record 1
HgIrBr2 | PBE | relaxed

a = 3.8387 Å, b = 3.8387 Å, c = 28.8025 Å
α = 90.00°, β = 90.00°, γ = 120.00°
Space group R-3m (No. 166, hexagonal axes)
Symmetry-distinct sites (fractional):
Hg 0.0000 0.0000 0.0000 x3
Ir 0.0000 0.0000 0.5000 x3
Br 0.0000 0.0000 0.2131 x6

Summary:
As for the total energy: -34.9 eV per cell. Its excess energy over the best structure of this formula in the dataset is 0.55 eV per formula unit. For the raw formation energy, the calculation gives 0.217 eV per atom. The calculated volume comes out at 367.6 Å³/cell.

=====

Record 2
Ac4PdPtBr2 | PBE | relaxed

a = 7.7051 Å, b = 4.4724 Å, c = 8.6277 Å
α = 90.00°, β = 107.32°, γ = 90.00°
Space group P2/m (No. 10)
Symmetry-distinct sites (fractional):
Ac 0.2306 0.0000 0.1964 x2
Ac 0.2640 0.5000 0.8039 x2
Pd 0.5000 0.0000 0.0000 x1
Pt 0.0000 0.5000 0.0000 x1
Br 0.0000 0.0000 0.5000 x1
Br 0.5000 0.5000 0.5000 x1

Summary:
As for the total energy: -40.8 eV per cell. For the raw formation energy, the calculation gives -1.220 eV per atom. The calculated volume comes out at 283.8 Å³/cell.

=====

Record 3
LiBeAlAg | PBE | relaxed

a = 5.9831 Å, b = 5.9831 Å, c = 5.9831 Å
α = 90.00°, β = 90.00°, γ = 90.00°
Space group F-43m (No. 216)
Symmetry-distinct sites (fractional):
Li 0.0000 0.0000 0.0000 x4
Be 0.0000 0.0000 0.5000 x4
Al 0.2500 0.2500 0.7500 x4
Ag 0.2500 0.2500 0.2500 x4

Summary:
As for the total energy: -49.5 eV per cell. As for the formation energy: -34 meV/atom. The calculated volume comes out at 214.2 Å³/cell.

=====

Record 4
Dy4YSc5 | PBE | relaxed

a = 9.7737 Å, b = 9.7737 Å, c = 6.0165 Å
α = 90.00°, β = 90.00°, γ = 90.00°
Space group I4 (No. 79)
Symmetry-distinct sites (fractional):
Dy 0.0511 0.3456 0.0000 x8
Y 0.0000 0.0000 0.2223 x2
Sc 0.0000 0.0000 0.7567 x2
Sc 0.1441 0.2299 0.5074 x8

Summary:
As for the total energy: -107.0 eV per cell. Its excess energy over the best structure of this formula in the dataset is 0.52 eV per formula unit. As for the formation energy: 304 meV/atom. The calculated volume comes out at 574.7 Å³/cell.

=====

Record 5
DyIn2Cl5 | PBE | relaxed

a = 12.7560 Å, b = 8.4603 Å, c = 8.6259 Å
α = 90.00°, β = 90.00°, γ = 90.00°
Space group Pnma (No. 62)
Symmetry-distinct sites (fractional):
Dy 0.0061 0.2500 0.0747 x4
In 0.1676 0.0138 0.5993 x8
Cl 0.0031 0.2500 0.3966 x4
Cl 0.0556 0.5508 0.1639 x8
Cl 0.1958 0.2500 0.9415 x4
Cl 0.1986 0.7500 0.8610 x4

Summary:
As for the total energy: -127.4 eV per cell. For the raw formation energy, the calculation gives -1.569 eV per atom. The calculated volume comes out at 930.9 Å³/cell.

=====

Record 6
Pr5GaNi2 | PBE | relaxed

a = 7.9334 Å, b = 7.9334 Å, c = 13.3859 Å
α = 90.00°, β = 90.00°, γ = 90.00°
Space group I4/mcm (No. 140)
Symmetry-distinct sites (fractional):
Pr 0.0000 0.0000 0.0000 x4
Pr 0.1617 0.3383 0.1411 x16
Ga 0.0000 0.0000 0.2500 x4
Ni 0.1209 0.3791 0.5000 x8

Summary:
As for the total energy: -162.9 eV per cell. As for the formation energy: -280 meV/atom. The calculated volume comes out at 842.5 Å³/cell.